## a
VASP calculation (PBE) on a relaxed Sr2BeIn2 crystal.

a = 7.3981 Å, b = 7.3981 Å, c = 5.4036 Å
α = 90.00°, β = 90.00°, γ = 90.00°
Last column: nearest neighbours and their distance in Å.
Element x y z (fractional)
Sr 0.1703 0.3297 0.0000  6 In 3.32-3.58, 1 Sr 3.56
Sr 0.3297 0.8297 0.0000  6 In 3.32-3.58, 1 Sr 3.56
Sr 0.6703 0.1703 0.0000  6 In 3.32-3.58, 1 Sr 3.56
Sr 0.8297 0.6703 0.0000  6 In 3.32-3.58, 1 Sr 3.56
Be 0.0000 0.0000 0.5000  4 In 2.84
Be 0.5000 0.5000 0.5000  4 In 2.84
In 0.1453 0.6453 0.5000  2 Be 2.84, 1 In 3.04
In 0.3547 0.1453 0.5000  2 Be 2.84, 1 In 3.04
In 0.6453 0.8547 0.5000  2 Be 2.84, 1 In 3.04
In 0.8547 0.3547 0.5000  2 Be 2.84, 1 In 3.04

Properties
Its space group is No. 127.

## b
VASP calculation (PBE) on a relaxed Sr2BeIn2 crystal.

a = 7.7899 Å, b = 7.7899 Å, c = 7.7899 Å
α = 141.01°, β = 141.01°, γ = 56.32°
Last column: nearest neighbours and their distance in Å.
Element x y z (fractional)
Sr 0.2500 0.7500 0.5000  4 In 3.34, 4 Sr 3.68
Sr 0.7500 0.2500 0.5000  4 In 3.34, 4 Sr 3.68
Be 0.0000 0.0000 0.0000  8 In 3.91, 8 Sr 4.31
In 0.4029 0.4029 0.0000  1 In 2.67
In 0.5971 0.5971 0.0000  1 In 2.67

Properties
Its space group is No. 139.

Going by the computed energies, the most stable comes first: a, b.

## a
VASP calculation (PBE) on a relaxed Sr2BeIn crystal.

a = 8.7420 Å, b = 8.7420 Å, c = 8.7420 Å
α = 29.38°, β = 29.38°, γ = 29.38°
Last column: nearest neighbours and their distance in Å.
Element x y z (fractional)
Sr 0.0000 0.0000 0.0000  3 In 3.40, 3 Be 3.40
Sr 0.1787 0.1787 0.1787  3 Be 3.40, 3 In 3.40
Be 0.7559 0.7559 0.7559  3 In 2.56
In 0.4226 0.4226 0.4226  3 Be 2.56

Properties
Its space group is No. 160.

## b
VASP calculation (PBE) on a relaxed Sr2BeIn crystal.

a = 4.5921 Å, b = 6.1083 Å, c = 6.1083 Å
α = 49.51°, β = 90.00°, γ = 90.00°
Last column: nearest neighbours and their distance in Å.
Element x y z (fractional)
Sr 0.0000 0.0000 0.0000  3 Be 3.30-3.47, 4 In 3.62
Sr 0.5000 0.2928 0.2928  3 In 3.32-3.43, 4 Be 3.63
Be 0.0000 0.6873 0.6873  2 In 2.48
In 0.5000 0.6021 0.6021  2 Be 2.48

Properties
Its space group is No. 38.

Going by the computed energies, the most stable comes first: a, b.

## a
VASP calculation (PBE) on a relaxed Sr2BeIn crystal.

a = 9.7465 Å, b = 9.7465 Å, c = 9.7465 Å
α = 24.38°, β = 24.38°, γ = 24.38°
Last column: nearest neighbours and their distance in Å.
Element x y z (fractional)
Sr 0.2402 0.2402 0.2402  3 Be 3.16
Sr 0.7598 0.7598 0.7598  3 Be 3.16
Be 0.5000 0.5000 0.5000  6 Sr 3.16
In 0.0000 0.0000 0.0000  6 Sr 3.55

Properties
Its space group is No. 166.

## b
VASP calculation (PBE) on a relaxed Sr2BeIn crystal.

a = 3.7164 Å, b = 3.7164 Å, c = 9.3132 Å
α = 90.00°, β = 90.00°, γ = 95.35°
Last column: nearest neighbours and their distance in Å.
Element x y z (fractional)
Sr 0.0000 0.0000 0.0000  4 Be 3.29-3.48, 1 In 3.32
Sr 0.5000 0.5000 0.3884  4 In 3.45-3.63, 1 Be 3.56, 4 Sr 3.72
Be 0.5000 0.5000 0.7703  4 In 2.77-2.99
In 0.0000 0.0000 0.6437  4 Be 2.77-2.99

Properties
Its space group is No. 35.

Going by the computed energies, the most stable comes first: b, a.

## a
VASP calculation (PBE) on a relaxed SrBe2In2 crystal.

a = 6.3019 Å, b = 6.3019 Å, c = 6.3019 Å
α = 139.48°, β = 139.48°, γ = 58.65°
Last column: nearest neighbours and their distance in Å.
Element x y z (fractional)
Sr 0.0000 0.0000 0.0000  8 Be 3.28, 8 In 3.51
Be 0.3980 0.3980 0.0000  1 Be 2.24
Be 0.6020 0.6020 0.0000  1 Be 2.24
In 0.2500 0.7500 0.5000  4 Be 2.72
In 0.7500 0.2500 0.5000  4 Be 2.72

Properties
Its space group is No. 139.

## b
VASP calculation (PBE) on a relaxed SrBe2In2 crystal.

a = 8.0044 Å, b = 8.0044 Å, c = 3.3030 Å
α = 90.00°, β = 90.00°, γ = 90.00°
Last column: nearest neighbours and their distance in Å.
Element x y z (fractional)
Sr 0.0000 0.0000 0.0000  4 Be 3.26, 2 Sr 3.30, 8 In 3.41
Sr 0.5000 0.5000 0.0000  4 Be 3.26, 2 Sr 3.30, 8 In 3.41
Be 0.1069 0.3931 0.0000  1 Be 2.42
Be 0.3931 0.8931 0.0000  1 Be 2.42
Be 0.6069 0.1069 0.0000  1 Be 2.42
Be 0.8931 0.6069 0.0000  1 Be 2.42
In 0.1678 0.6678 0.5000  6 Be 2.79-3.04
In 0.3322 0.1678 0.5000  6 Be 2.79-3.04
In 0.6678 0.8322 0.5000  6 Be 2.79-3.04
In 0.8322 0.3322 0.5000  6 Be 2.79-3.04

Properties
Its space group is No. 127.

Going by the computed energies, the most stable comes first: a, b.

## a
VASP calculation (PBE) on a relaxed SrBeIn3 crystal.

a = 5.0897 Å, b = 5.0897 Å, c = 5.0897 Å
α = 90.00°, β = 90.00°, γ = 90.00°
Last column: nearest neighbours and their distance in Å.
Element x y z (fractional)
Sr 0.0000 0.0000 0.0000  12 In 3.60
Be 0.5000 0.5000 0.5000  6 In 2.54
In 0.0000 0.5000 0.5000  2 Be 2.54
In 0.5000 0.0000 0.5000  2 Be 2.54
In 0.5000 0.5000 0.0000  2 Be 2.54

Properties
Its space group is No. 221.

## b
VASP calculation (PBE) on a relaxed SrBeIn3 crystal.

a = 6.3331 Å, b = 6.3331 Å, c = 6.3331 Å
α = 90.00°, β = 90.00°, γ = 90.00°
Last column: nearest neighbours and their distance in Å.
Element x y z (fractional)
Sr 0.0000 0.0000 0.0000  6 In 3.17
Be 0.5000 0.5000 0.5000  12 In 4.48
In 0.0000 0.0000 0.5000  2 Sr 3.17
In 0.0000 0.5000 0.0000  2 Sr 3.17
In 0.5000 0.0000 0.0000  2 Sr 3.17

Properties
Its space group is No. 221.

Going by the computed energies, the most stable comes first: a, b.

## a
VASP calculation (PBE) on a relaxed Ta2BeIn crystal.

a = 3.4407 Å, b = 3.4407 Å, c = 6.0307 Å
α = 90.00°, β = 90.00°, γ = 90.00°
Last column: nearest neighbours and their distance in Å.
Element x y z (fractional)
Ta 0.0000 0.0000 0.0000  1 Be 2.54, 4 Ta 2.74
Ta 0.5000 0.5000 0.2081  4 Ta 2.74, 4 Be 2.75, 1 In 2.91
Be 0.0000 0.0000 0.4211  5 Ta 2.54-2.75
In 0.5000 0.5000 0.6906  6 Ta 2.91-3.12, 4 Be 2.93

Properties
Its space group is No. 99.

## b
VASP calculation (PBE) on a relaxed Ta2BeIn crystal.

a = 3.7426 Å, b = 4.1502 Å, c = 4.3740 Å
α = 90.00°, β = 90.00°, γ = 90.00°
Last column: nearest neighbours and their distance in Å.
Element x y z (fractional)
Ta 0.0000 0.0000 0.0000  4 Ta 2.79, 4 In 2.88, 4 Be 3.01
Ta 0.5000 0.5000 0.0000  4 Ta 2.79, 4 Be 2.88, 4 In 3.01
Be 0.0000 0.5000 0.5000  4 In 2.79, 8 Ta 2.88-3.01
In 0.5000 0.0000 0.5000  4 Be 2.79, 8 Ta 2.88-3.01

Properties
Its space group is No. 47.

## c
VASP calculation (PBE) on a relaxed Ta2BeIn crystal.

a = 2.8859 Å, b = 4.1876 Å, c = 5.6627 Å
α = 90.00°, β = 96.21°, γ = 90.00°
Last column: nearest neighbours and their distance in Å.
Element x y z (fractional)
Ta 0.0552 0.0000 0.2705  3 Ta 2.65-2.89, 2 Be 2.71, 4 In 2.96-2.97
Ta 0.9448 0.0000 0.7295  3 Ta 2.65-2.89, 2 Be 2.71, 4 In 2.96-2.97
Be 0.5000 0.5000 0.5000  8 Ta 2.71-3.02, 2 In 2.83, 2 Be 2.89
In 0.5000 0.5000 0.0000  2 Be 2.83, 2 In 2.89, 8 Ta 2.96-2.97

Properties
Its space group is No. 10.

Going by the computed energies, the most stable comes first: b, c, a.